VASP calculation (PBE-GGA) on TbInSn2Se5 after structural relaxation.

Unit cell a=4.1067 b=19.0591 c=13.5381 alpha=90.00 beta=90.00 gamma=90.00
Space group Cmc2_1 (No. 36)
Inequivalent atoms, fractional coordinates:
Tb 0.0000 0.1950 0.0000
In 0.0000 0.4545 0.4104
Sn 0.0000 0.1314 0.3041
Sn 0.0000 0.1510 0.6420
Se 0.0000 0.0394 0.0310
Se 0.0000 0.2970 0.6521
Se 0.0000 0.3200 0.3521
Se 0.0000 0.3448 0.9979
Se 0.0000 0.4674 0.7553

Values from the calculation:
The calculation puts the volume at 1059.63 Å³ per cell. For the raw formation energy, the calculation gives -730 kJ/mol of formula units.